{"formula": "Tb5TlNi2", "functional": "PBE", "state": "optimized geometry", "crystal_system": "tetragonal", "lattice_angstrom": [[-3.869, 3.869, 6.701], [3.869, -3.869, 6.701], [3.869, 3.869, -6.701]], "species": ["Tb", "Tb", "Tb", "Tb", "Tb", "Tb", "Tb", "Tb", "Tb", "Tb", "Tl", "Tl", "Ni", "Ni", "Ni", "Ni"], "frac_coords": [[0.000, 0.000, 0.000], [0.025, 0.525, 0.818], [0.206, 0.025, 0.500], [0.294, 0.794, 0.818], [0.475, 0.294, 0.500], [0.500, 0.500, 0.000], [0.525, 0.706, 0.500], [0.706, 0.206, 0.182], [0.794, 0.975, 0.500], [0.975, 0.475, 0.182], [0.250, 0.250, 0.000], [0.750, 0.750, 0.000], [0.127, 0.373, 0.500], [0.373, 0.873, 0.246], [0.627, 0.127, 0.754], [0.873, 0.627, 0.500]]}



{"formula": "Tb11Tl9Ni4", "functional": "PBE", "state": "optimized geometry", "crystal_system": "orthorhombic", "lattice_angstrom": [[7.312, -10.966, 0.000], [7.312, 10.966, 0.000], [0.000, 0.000, 3.699]], "species": ["Tb", "Tb", "Tb", "Tb", "Tb", "Tb", "Tb", "Tb", "Tb", "Tb", "Tb", "Tl", "Tl", "Tl", "Tl", "Tl", "Tl", "Tl", "Tl", "Tl", "Ni", "Ni", "Ni", "Ni"], "frac_coords": [[0.000, 0.000, 0.000], [0.085, 0.418, 0.000], [0.162, 0.838, 0.000], [0.313, 0.313, 0.000], [0.375, 0.625, 0.000], [0.418, 0.085, 0.000], [0.582, 0.915, 0.000], [0.625, 0.375, 0.000], [0.687, 0.687, 0.000], [0.838, 0.162, 0.000], [0.915, 0.582, 0.000], [0.073, 0.219, 0.500], [0.154, 0.631, 0.500], [0.219, 0.073, 0.500], [0.369, 0.846, 0.500], [0.500, 0.500, 0.500], [0.631, 0.154, 0.500], [0.781, 0.927, 0.500], [0.846, 0.369, 0.500], [0.927, 0.781, 0.500], [0.250, 0.450, 0.500], [0.450, 0.250, 0.500], [0.550, 0.750, 0.500], [0.750, 0.550, 0.500]]}



{"formula": "Tb2TlNi2", "functional": "PBE", "state": "optimized geometry", "crystal_system": "trigonal", "lattice_angstrom": [[2.412, 1.392, 5.069], [-2.412, 1.392, 5.069], [0.000, -2.785, 5.069]], "species": ["Tb", "Tb", "Tl", "Ni", "Ni"], "frac_coords": [[0.232, 0.232, 0.232], [0.768, 0.768, 0.768], [0.000, 0.000, 0.000], [0.422, 0.422, 0.422], [0.578, 0.578, 0.578]]}



{"formula": "TbTlZnNi", "functional": "PBE", "state": "optimized geometry", "crystal_system": "cubic", "lattice_angstrom": [[0.000, 3.367, 3.367], [3.367, 0.000, 3.367], [3.367, 3.367, 0.000]], "species": ["Tb", "Tl", "Zn", "Ni"], "frac_coords": [[0.000, 0.000, 0.000], [0.500, 0.500, 0.500], [0.250, 0.250, 0.250], [0.750, 0.750, 0.750]]}



{"formula": "TbTmNi", "functional": "PBE", "state": "optimized geometry", "relative_energy_mev_per_atom": 53.8, "crystal_system": "tetragonal", "lattice_angstrom": [[-1.691, 1.691, 6.170], [1.691, -1.691, 6.170], [1.691, 1.691, -6.170]], "species": ["Tb", "Tm", "Ni"], "frac_coords": [[0.000, 0.000, 0.000], [0.263, 0.263, 0.000], [0.637, 0.637, 0.000]]}



{"formula": "TbTmNi", "functional": "PBE", "state": "optimized geometry", "relative_energy_mev_per_atom": 9.0, "crystal_system": "orthorhombic", "lattice_angstrom": [[1.847, -9.057, 0.000], [1.847, 9.057, 0.000], [0.000, 0.000, 4.255]], "species": ["Tb", "Tb", "Tm", "Tm", "Ni", "Ni"], "frac_coords": [[0.194, 0.806, 0.750], [0.806, 0.194, 0.250], [0.425, 0.575, 0.750], [0.575, 0.425, 0.250], [0.041, 0.959, 0.750], [0.959, 0.041, 0.250]]}



{"formula": "TbTm3Ni", "functional": "PBE", "state": "optimized geometry", "relative_energy_mev_per_atom": 0.0, "crystal_system": "monoclinic", "lattice_angstrom": [[7.845, 0.000, 0.000], [0.000, 7.084, 0.000], [-2.885, 0.000, 9.400]], "species": ["Tb", "Tb", "Tb", "Tb", "Tm", "Tm", "Tm", "Tm", "Tm", "Tm", "Tm", "Tm", "Tm", "Tm", "Tm", "Tm", "Ni", "Ni", "Ni", "Ni"], "frac_coords": [[0.185, 0.041, 0.259], [0.185, 0.459, 0.759], [0.815, 0.541, 0.241], [0.815, 0.959, 0.741], [0.067, 0.709, 0.027], [0.067, 0.791, 0.527], [0.283, 0.510, 0.379], [0.283, 0.990, 0.879], [0.415, 0.130, 0.606], [0.415, 0.370, 0.106], [0.585, 0.630, 0.894], [0.585, 0.870, 0.394], [0.717, 0.010, 0.121], [0.717, 0.490, 0.621], [0.933, 0.209, 0.473], [0.933, 0.291, 0.973], [0.436, 0.741, 0.607], [0.436, 0.759, 0.107], [0.564, 0.241, 0.893], [0.564, 0.259, 0.393]]}



{"formula": "Tb3TmNi8", "functional": "PBE", "state": "optimized geometry", "crystal_system": "trigonal", "lattice_angstrom": [[2.529, 1.460, 8.286], [-2.529, 1.460, 8.286], [0.000, -2.921, 8.286]], "species": ["Tb", "Tb", "Tb", "Tm", "Ni", "Ni", "Ni", "Ni", "Ni", "Ni", "Ni", "Ni"], "frac_coords": [[0.000, 0.000, 0.000], [0.125, 0.125, 0.125], [0.501, 0.501, 0.501], [0.625, 0.625, 0.625], [0.061, 0.563, 0.563], [0.063, 0.063, 0.564], [0.063, 0.564, 0.063], [0.313, 0.313, 0.313], [0.563, 0.061, 0.563], [0.563, 0.563, 0.061], [0.564, 0.063, 0.063], [0.813, 0.813, 0.813]]}



{"formula": "TbTmNi", "functional": "PBE", "state": "optimized geometry", "relative_energy_mev_per_atom": 0.0, "crystal_system": "monoclinic", "lattice_angstrom": [[6.095, -1.804, 0.000], [6.095, 1.804, 0.000], [-4.619, 0.000, 6.469]], "species": ["Tb", "Tb", "Tm", "Tm", "Ni", "Ni"], "frac_coords": [[0.164, 0.164, 0.074], [0.836, 0.836, 0.926], [0.413, 0.413, 0.609], [0.587, 0.587, 0.391], [0.124, 0.124, 0.683], [0.876, 0.876, 0.317]]}



{"formula": "Tb3Tm3Ni4", "functional": "PBE", "state": "optimized geometry", "crystal_system": "orthorhombic", "lattice_angstrom": [[3.858, 0.000, 0.000], [0.000, 5.272, 5.288], [0.000, -5.272, 5.288]], "species": ["Tb", "Tb", "Tb", "Tm", "Tm", "Tm", "Ni", "Ni", "Ni", "Ni"], "frac_coords": [[0.000, 0.000, 0.000], [0.500, 0.339, 0.839], [0.500, 0.839, 0.339], [0.000, 0.176, 0.503], [0.000, 0.503, 0.176], [0.000, 0.672, 0.672], [0.500, 0.218, 0.218], [0.500, 0.463, 0.463], [0.500, 0.710, 0.960], [0.500, 0.960, 0.710]]}



{"formula": "Tb3TmNi2", "functional": "PBE", "state": "optimized geometry", "crystal_system": "monoclinic", "lattice_angstrom": [[8.053, -1.931, 0.000], [8.053, 1.931, 0.000], [-6.228, 0.000, 9.477]], "species": ["Tb", "Tb", "Tb", "Tb", "Tb", "Tb", "Tm", "Tm", "Ni", "Ni", "Ni", "Ni"], "frac_coords": [[0.081, 0.081, 0.442], [0.082, 0.082, 0.938], [0.345, 0.345, 0.754], [0.655, 0.655, 0.246], [0.918, 0.918, 0.062], [0.919, 0.919, 0.558], [0.343, 0.343, 0.252], [0.657, 0.657, 0.748], [0.268, 0.268, 0.949], [0.269, 0.269, 0.448], [0.731, 0.731, 0.552], [0.732, 0.732, 0.051]]}



{"formula": "Tb2TmNi2", "functional": "PBE", "state": "optimized geometry", "relative_energy_mev_per_atom": 0.0, "crystal_system": "monoclinic", "lattice_angstrom": [[5.638, -2.882, 0.000], [5.638, 2.882, 0.000], [-1.352, 0.000, 6.984]], "species": ["Tb", "Tb", "Tb", "Tb", "Tm", "Tm", "Ni", "Ni", "Ni", "Ni"], "frac_coords": [[0.049, 0.268, 0.153], [0.268, 0.049, 0.653], [0.732, 0.951, 0.347], [0.951, 0.732, 0.847], [0.411, 0.589, 0.250], [0.589, 0.411, 0.750], [0.201, 0.477, 0.489], [0.477, 0.201, 0.989], [0.523, 0.799, 0.011], [0.799, 0.523, 0.511]]}



no.,formation energy from the elements (eV per atom),DFT total energy (eV per atom),total magnetization (Bohr magnetons per cell)
1,-0.32,-4.96,0.001
2,-0.41,-4.38,0.000
3,-0.28,-4.92,0.000
4,-0.18,-3.69,0.000
5,-0.26,-5.22,0.000
6,-0.30,-5.27,0.000
7,-0.13,-4.89,0.000
8,-0.45,-5.83,0.000
9,-0.31,-5.27,0.000
10,-0.34,-5.38,0.000
11,-0.30,-5.28,0.000
12,-0.33,-5.39,0.000